Run A
Density functional theory data (PBE) for a relaxed structure of KMnPb2.

Its crystal system is orthorhombic. For the theoretical density, the calculation gives 7.403 g/cm3. For the calculated volume, the calculation gives 28.51 Å³/atom.

```
KMnPb2
1.0
6.114 -0.059 0.000
-2.216 5.699 0.000
0.000 0.000 3.285
Pb Mn K
2 1 1
direct
0.000 0.000 0.000
0.500 0.500 0.000
0.000 0.500 0.500
0.500 0.000 0.500
```

=====

Run B
Density functional theory data (PBE) for a relaxed structure of KMnPb2.

Its crystal system is monoclinic. For the theoretical density, the calculation gives 6.735 g/cm3. For the calculated volume, the calculation gives 31.34 Å³/atom.

```
KMnPb2
1.0
-3.088 -3.596 1.083
-1.040 -4.406 -1.775
3.510 -6.527 4.365
K Pb Mn
1 2 1
direct
0.542 0.542 0.496
0.679 0.679 0.830
0.960 0.960 0.171
0.319 0.319 0.003
```

=====

Run C
Density functional theory data (PBE) for a relaxed structure of KMnPb2.

Its crystal system is orthorhombic. For the theoretical density, the calculation gives 6.528 g/cm3. For the calculated volume, the calculation gives 32.33 Å³/atom.

```
KMnPb2
1.0
-0.987 -3.632 -0.233
3.616 -0.875 -1.677
3.216 -1.365 7.644
Pb K Mn
2 1 1
direct
0.500 0.500 0.200
0.000 0.000 0.926
0.000 0.000 0.505
0.500 0.500 0.869
```

=====

Run D
Density functional theory data (PBE) for a relaxed structure of KMnPb2.

Its crystal system is trigonal. For the theoretical density, the calculation gives 7.422 g/cm3. For the calculated volume, the calculation gives 28.44 Å³/atom.

```
KMnPb2
1.0
10.357 0.013 0.007
9.727 3.555 0.007
9.727 1.728 3.107
Pb Mn K
2 1 1
direct
0.485 0.485 0.485
0.015 0.015 0.015
0.750 0.750 0.750
0.250 0.250 0.250
```

=====

Least stable structure: run A